1.
GdLuAu2 | PBE | relaxed

a b c (Å): 5.0693 5.0693 5.0693
angles (deg): 60.00 60.00 60.00
Site moments in Bohr magnetons follow the coordinates.
Atoms (fractional coordinates):
Gd1 0.5000 0.5000 0.5000  -6.98
Lu1 0.0000 0.0000 0.0000  0.00
Au1 0.2500 0.2500 0.2500  0.01
Au2 0.7500 0.7500 0.7500  0.01

Properties
V in Å³/atom: 23.0
Magnetization in μB/cell: 7.049
Energy relative to the elements in eV per atom: -0.851
Space group: Fm-3m, No. 225
Final energy in eV per atom: -7.14
Excess energy over the best structure of this formula in the dataset in eV per formula unit: 0.071

=====

2.
GdLuMgAu | PBE | relaxed

a b c (Å): 5.1724 5.1724 5.1724
angles (deg): 60.00 60.00 60.00
Site moments in Bohr magnetons follow the coordinates.
Atoms (fractional coordinates):
Gd1 0.2500 0.2500 0.2500  -7.01
Mg1 0.5000 0.5000 0.5000  0.00
Lu1 0.7500 0.7500 0.7500  0.01
Au1 0.0000 0.0000 0.0000  0.00

Properties
V in Å³/atom: 24.5
Magnetization in μB/cell: 7.161
Energy relative to the elements in eV per atom: -0.408
Space group: F-43m, No. 216
Final energy in eV per atom: -6.28

=====

3.
GdLuMnAu | PBE | relaxed

a b c (Å): 5.0317 5.0317 5.0317
angles (deg): 60.00 60.00 60.00
Site moments in Bohr magnetons follow the coordinates.
Atoms (fractional coordinates):
Gd1 0.0000 0.0000 0.0000  -7.14
Lu1 0.5000 0.5000 0.5000  -0.14
Au1 0.7500 0.7500 0.7500  0.00
Mn1 0.2500 0.2500 0.2500  3.53

Properties
V in Å³/atom: 22.5
Magnetization in μB/cell: 3.714
Energy relative to the elements in eV per atom: -0.265
Space group: F-43m, No. 216
Final energy in eV per atom: -8.03

=====

4.
GdLuNiAu | PBE | relaxed

a b c (Å): 4.9332 4.9332 4.9332
angles (deg): 60.00 60.00 60.00
Site moments in Bohr magnetons follow the coordinates.
Atoms (fractional coordinates):
Gd1 0.5000 0.5000 0.5000  7.00
Ni1 0.2500 0.2500 0.2500  0.01
Lu1 0.0000 0.0000 0.0000  0.01
Au1 0.7500 0.7500 0.7500  0.01

Properties
V in Å³/atom: 21.2
Magnetization in μB/cell: 7.155
Energy relative to the elements in eV per atom: -0.590
Space group: F-43m, No. 216
Final energy in eV per atom: -7.51

=====

Q: Which of these has the highest V?
A: GdLuMgAu

=====

Q: Which of these has the lowest V?
A: GdLuNiAu

=====

Q: What is the formula in the fourth record?
A: GdLuNiAu

=====

Q: V of number 3 (GdLuMnAu)?
A: 22.5 Å³/atom